## a
An optimized crystal structure of Pd4Pb. Source: the Alexandria database, functional PBE.

Cell and atoms, written as POSCAR:
```
Pd4Pb
1.0
-1.3333 3.5583 3.2732
-4.4236 -2.2681 0.6636
1.9511 -2.7106 3.7415
Pb Pd
1 4
Cartesian
-1.9030 -0.7102 3.8391
0.0000 0.0000 0.0000
0.3089 0.4238 3.5073
-1.2363 -2.4893 2.2026
-2.8785 0.6451 1.9684
```

- density (g/cm³) = 8.3
- symmetry = Pm-3m (221)
- total magnetization (μB per atom) = 0.00

## b
An optimized crystal structure of Pd4Pb. Source: the Alexandria database, functional PBE.

Cell and atoms, written as POSCAR:
```
Pd4Pb
1.0
-1.8794 3.2105 -2.9615
-0.4233 -3.5716 -3.6033
-6.1751 0.5651 4.5315
Pd Pb
8 2
Cartesian
-2.9717 0.3107 -1.5930
-3.3574 1.2146 -4.1856
-5.5060 -0.1068 -0.4403
-5.1203 -1.0107 2.1523
-4.4349 2.7172 -1.8734
-1.8945 -1.1914 -3.9056
-4.0429 -2.5133 -0.1599
-6.5833 1.3954 1.8723
0.0000 0.0000 0.0000
-4.0272 1.8878 0.7850
```

- density (g/cm³) = 12.3
- symmetry = C2/m (12)
- total magnetization (μB per atom) = 0.00

## c
An optimized crystal structure of Pd4Pb. Source: the Alexandria database, functional PBE.

Cell and atoms, written as POSCAR:
```
Pd4Pb
1.0
-0.4650 -2.7285 -3.3622
5.4734 -1.3678 0.3531
-4.0810 -3.1219 5.9184
Pd Pb
8 2
Cartesian
1.0413 -1.4144 1.0038
-0.1138 -5.8039 1.9054
-0.2325 -1.3643 -1.6811
2.5042 -2.0482 -1.5046
-0.8020 -3.3934 0.0444
1.7294 -3.8249 2.8648
-0.9155 -3.1639 2.6942
1.8430 -4.0544 0.2150
-2.8408 -5.0879 1.7015
3.7682 -2.1304 1.2077
```

- density (g/cm³) = 12.2
- symmetry = Imma (74)
- total magnetization (μB per atom) = 0.00

Stability, lowest: a

## a
An optimized crystal structure of Pd5Pb3. Source: the Alexandria database, functional PBE.

Cell and atoms, written as POSCAR:
```
Pd5Pb3
1.0
-4.9406 -5.4346 -0.1359
-1.8830 -2.4006 -6.6824
2.6374 -6.6956 -1.8713
Pd Pb
10 6
Cartesian
-1.9615 -8.7843 -7.7268
-0.4386 -3.9744 -4.7864
-2.9353 -7.1929 -1.1383
-3.5756 -9.6448 -2.5737
-3.3134 -4.7275 -5.0250
-0.0340 -8.9712 -5.4601
-4.0665 -7.1614 -6.4213
0.6646 -6.5913 -3.9473
-0.8698 -2.5154 -1.2407
-3.5322 -12.2298 -6.9864
-1.8390 -4.8762 -2.5698
-2.7050 -10.0098 -5.3534
-1.9171 -2.4344 -6.6093
-1.2739 -6.4526 -6.0985
-4.4114 -7.0461 -3.5926
-0.9046 -8.6060 -2.6777
```

- density (g/cm³) = 12.3
- symmetry = C2/c (15)
- total magnetization (μB per atom) = 0.00

## b
An optimized crystal structure of Pd5Pb3. Source: the Alexandria database, functional PBE.

Cell and atoms, written as POSCAR:
```
Pd5Pb3
1.0
-1.4880 -0.2465 -5.6472
1.2911 -5.4755 1.5867
-8.9046 -1.4020 2.4076
Pd Pb
10 6
Cartesian
-7.3567 -1.4146 -0.9144
-1.7448 -5.7094 -0.7385
-6.1061 -3.7675 2.3407
-2.9954 -3.3565 -3.9936
-6.8712 -6.6534 -2.1696
-2.2303 -0.4706 0.5167
-8.6678 -3.0166 1.1495
-0.4337 -4.1074 -2.8024
-4.2981 -4.7158 -1.7575
-4.8034 -2.4082 0.1047
0.7078 -4.3781 0.0685
-0.9048 -1.3439 -4.1290
-5.3571 -2.0449 -2.9252
-3.7444 -5.0791 1.2723
-6.7909 -4.3181 -0.5124
-2.3106 -2.8059 -1.1405
```

- density (g/cm³) = 12.5
- symmetry = Cmcm (63)
- total magnetization (μB per atom) = 0.00

Stability, lowest: b

## a
An optimized crystal structure of PmPd6Pb. Source: the Alexandria database, functional PBE.

Cell and atoms, written as POSCAR:
```
PmPd6Pb
1.0
-0.5464 -4.6815 2.7672
-0.9689 -4.6627 -2.6820
6.5704 -4.2672 -0.5241
Pm Pd Pb
1 6 1
Cartesian
2.5275 -6.8057 -0.2195
3.1225 -11.6724 -0.2825
3.3913 -9.3693 -1.6438
1.4559 -4.2328 -1.4760
1.6638 -4.2421 1.2048
1.9326 -1.9390 -0.1565
3.5991 -9.3785 1.0370
0.0000 0.0000 0.0000
```

- density (g/cm³) = 8.8
- symmetry = R-3m (166)
- total magnetization (μB per atom) = 0.00

## b
An optimized crystal structure of PmPd6Pb. Source: the Alexandria database, functional PBE.

Cell and atoms, written as POSCAR:
```
PmPd6Pb
1.0
4.1666 0.0000 0.0000
0.0000 4.1666 0.0000
0.0000 0.0000 8.2256
Pm Pd Pb
1 6 1
Cartesian
0.0000 0.0000 0.0000
2.0833 2.0833 0.0000
2.0833 2.0833 4.1128
2.0833 0.0000 2.1066
2.0833 0.0000 6.1190
0.0000 2.0833 2.1066
0.0000 2.0833 6.1190
0.0000 0.0000 4.1128
```

- density (g/cm³) = 11.5
- symmetry = P4/mmm (123)
- total magnetization (μB per atom) = 0.00

Stability, lowest: a

## a
An optimized crystal structure of Pm3Pd2Pb3. Source: the Alexandria database, functional PBE.

Cell and atoms, written as POSCAR:
```
Pm3Pd2Pb3
1.0
6.1211 0.0000 0.0000
0.0000 8.6214 0.0000
0.0000 0.0000 15.9917
Pm Pd Pb
12 8 12
Cartesian
0.7698 4.0430 6.2197
3.8304 0.2677 9.7721
5.3513 4.5784 14.2155
2.2907 8.3537 1.7762
5.3513 4.5784 9.7721
2.2907 8.3537 6.2197
0.7698 4.0430 1.7762
3.8304 0.2677 14.2155
3.9320 2.8390 3.9979
0.8714 1.4717 11.9938
2.1892 5.7824 11.9938
5.2497 7.1497 3.9979
5.3409 0.7337 6.1423
2.2804 3.5770 9.8494
0.7802 7.8877 14.1381
3.8408 5.0443 1.8536
0.7802 7.8877 9.8494
3.8408 5.0443 6.1423
5.3409 0.7337 1.8536
2.2804 3.5770 14.1381
0.8302 1.6276 3.9979
3.8908 2.6831 11.9938
5.2909 6.9938 11.9938
2.2303 5.9383 3.9979
3.6940 2.6062 7.4191
0.6334 1.7045 8.5726
2.4271 6.0151 15.4149
5.4877 6.9169 0.5768
2.4271 6.0151 8.5726
5.4877 6.9169 7.4191
3.6940 2.6062 0.5768
0.6334 1.7045 15.4149
```

- density (g/cm³) = 10.0
- symmetry = Pnma (62)
- total magnetization (μB per atom) = 0.00

## b
An optimized crystal structure of Pm3Pd2Pb3. Source: the Alexandria database, functional PBE.

Cell and atoms, written as POSCAR:
```
Pm3Pd2Pb3
1.0
-1.9367 -4.2412 0.3517
5.0644 0.5492 3.4304
-8.7791 5.0170 12.1576
Pm Pd Pb
6 4 6
Cartesian
-0.9565 -1.4822 7.9394
-7.1506 4.2106 11.4011
1.4993 -2.8856 4.5386
-4.6948 2.8072 8.0002
-1.9437 -1.3341 4.2888
-3.7076 2.6592 11.6509
-6.3230 1.3985 13.1269
-1.7565 1.3142 6.1755
-3.8948 0.0108 9.7642
0.6717 -0.0735 2.8128
-3.9990 -0.1906 6.7616
-5.4332 3.6763 14.4139
-0.2181 -2.3512 1.5258
-1.6524 1.5156 9.1781
0.7511 0.1241 5.6330
-6.4024 1.2009 10.3067
```

- density (g/cm³) = 10.0
- symmetry = Cmcm (63)
- total magnetization (μB per atom) = 0.00

Stability, lowest: a

## a
An optimized crystal structure of Pm3Pd2Pb4. Source: the Alexandria database, functional PBE.

Cell and atoms, written as POSCAR:
```
Pm3Pd2Pb4
1.0
4.7238 0.0000 0.0000
-2.3619 5.8526 -0.0482
0.0000 -2.4282 8.7621
Pm Pd Pb
3 2 4
Cartesian
2.3619 -0.0821 6.0079
0.0000 0.0000 0.0000
0.0000 3.5065 2.7059
2.3619 1.4215 3.4313
0.0000 2.0029 5.2826
2.3619 2.1353 0.6778
0.0000 1.2891 8.0360
2.3619 3.4859 5.4249
0.0000 -0.0615 3.2890
```

- density (g/cm³) = 10.1
- symmetry = C2/m (12)
- total magnetization (μB per atom) = 0.00

## b
An optimized crystal structure of Pm3Pd2Pb4. Source: the Alexandria database, functional PBE.

Cell and atoms, written as POSCAR:
```
Pm3Pd2Pb4
1.0
-1.7591 -4.0079 -2.2715
4.3190 -4.7908 -0.2444
-1.4059 -6.0780 6.4603
Pm Pd Pb
3 2 4
Cartesian
1.4469 -8.5603 3.2782
0.0000 0.0000 0.0000
-0.2929 -6.3164 0.6662
2.4715 -7.2780 0.2222
-1.3176 -7.5987 3.7222
0.8194 -3.1979 -0.3448
0.3346 -11.6788 4.2892
0.0702 -5.1432 3.6678
1.0838 -9.7335 0.2766
```

- density (g/cm³) = 10.1
- symmetry = C2/m (12)
- total magnetization (μB per atom) = 0.00

Stability, lowest: b

## a
An optimized crystal structure of Pm4PdPb2. Source: the Alexandria database, functional PBE.

Cell and atoms, written as POSCAR:
```
Pm4PdPb2
1.0
4.7041 0.0000 0.0000
0.0000 8.8613 -1.3138
-2.3520 -5.1397 5.8699
Pm Pd Pb
4 1 2
Cartesian
2.3520 -2.5169 4.7281
0.0000 6.2385 -0.1720
2.3520 0.7173 1.6618
0.0000 3.0043 2.8943
0.0000 0.0000 0.0000
2.3520 4.1179 0.9079
0.0000 -0.3963 3.6482
```

- density (g/cm³) = 8.6
- symmetry = C2/m (12)
- total magnetization (μB per atom) = 0.00

## b
An optimized crystal structure of Pm4PdPb2. Source: the Alexandria database, functional PBE.

Cell and atoms, written as POSCAR:
```
Pm4PdPb2
1.0
-4.8619 -1.8487 0.8075
-0.4146 -1.1463 -5.1208
5.8464 -6.2915 3.6404
Pb Pd Pm
2 1 4
Cartesian
-1.7728 -3.5988 -1.7564
2.3427 -5.6877 1.0835
0.0000 0.0000 0.0000
-0.5825 -6.4886 -1.2058
1.1524 -2.7978 0.5330
-0.2073 -0.5731 -2.5604
-2.4310 -0.9244 0.4037
```

- density (g/cm³) = 7.7
- symmetry = I4/mmm (139)
- total magnetization (μB per atom) = 0.00

Stability, lowest: b

## a
An optimized crystal structure of PmPdPtPb. Source: the Alexandria database, functional PBE.

Cell and atoms, written as POSCAR:
```
PmPdPtPb
1.0
4.9564 0.0000 0.0000
2.4782 4.2924 0.0000
2.4782 1.4308 4.0469
Pb Pd Pt Pm
1 1 1 1
Cartesian
4.9564 2.8616 2.0235
2.4782 1.4308 1.0117
7.4347 4.2924 3.0352
0.0000 0.0000 0.0000
```

- density (g/cm³) = 12.6
- symmetry = F-43m (216)
- total magnetization (μB per atom) = 0.00

## b
An optimized crystal structure of PmPdPtPb. Source: the Alexandria database, functional PBE.

Cell and atoms, written as POSCAR:
```
PmPdPtPb
1.0
3.9695 0.0000 0.0000
0.0000 4.2749 0.0000
-1.9848 0.0000 5.3699
Pm Pd Pt Pb
1 1 1 1
Cartesian
1.9848 2.1374 4.2229
1.9848 2.1374 1.2566
0.0000 0.0000 4.7928
0.0000 0.0000 1.8852
```

- density (g/cm³) = 11.9
- symmetry = Amm2 (38)
- total magnetization (μB per atom) = 0.00

Stability, lowest: a

## a
An optimized crystal structure of Pd2PtPb2. Source: the Alexandria database, functional PBE.

Cell and atoms, written as POSCAR:
```
Pd2PtPb2
1.0
4.6844 0.0000 0.0000
0.0000 4.8770 0.1052
0.0000 0.4381 9.3512
Pd Pt Pb
4 2 4
Cartesian
1.1711 1.7882 4.7349
3.5133 3.5814 1.7586
1.1711 1.7337 7.6978
3.5133 3.5269 4.7214
3.5133 1.1328 6.2178
1.1711 4.1823 3.2385
3.5133 1.6383 9.1463
1.1711 4.1838 6.2964
1.1711 3.6768 0.3100
3.5133 1.1313 3.1599
```

- density (g/cm³) = 12.8
- symmetry = P2_1/m (11)
- total magnetization (μB per atom) = 0.00

## b
An optimized crystal structure of Pd2PtPb2. Source: the Alexandria database, functional PBE.

Cell and atoms, written as POSCAR:
```
Pd2PtPb2
1.0
7.2107 0.0000 0.0000
0.0000 7.2107 0.0000
0.0000 0.0000 3.9274
Pb Pd Pt
4 4 2
Cartesian
1.2296 4.8349 1.9637
4.8349 5.9811 1.9637
5.9811 2.3758 1.9637
2.3758 1.2296 1.9637
2.6164 6.2218 0.0000
6.2218 4.5942 0.0000
4.5942 0.9889 0.0000
0.9889 2.6164 0.0000
0.0000 0.0000 0.0000
3.6053 3.6053 0.0000
```

- density (g/cm³) = 13.4
- symmetry = P4/mbm (127)
- total magnetization (μB per atom) = 0.00

Stability, lowest: b